(1)
{
  "formula": "CsSrTlSe2",
  "functional": "PBE",
  "state": "relaxed",
  "e_form_raw_ev_per_atom": -1.02,
  "magnetic_moment_mub_per_fu": 0.00,
  "lattice_angstrom": [[-7.9286, -1.1930, 0.0030], [0.3168, -2.0844, 8.3435], [-1.1814, 7.8527, 0.6781]],
  "species": ["Sr", "Sr", "Se", "Se", "Se", "Se", "Tl", "Tl", "Cs", "Cs"],
  "frac_coords": [[0.5115, 0.0000, 0.7500], [0.4885, 0.0000, 0.2500], [0.3190, 0.2041, 0.0270], [0.6810, 0.7959, 0.9730], [0.6810, 0.2041, 0.5270], [0.3190, 0.7959, 0.4730], [0.0000, 0.0000, 0.0000], [0.0000, 0.0000, 0.5000], [0.6284, 0.5000, 0.2500], [0.3716, 0.5000, 0.7500]]
}

=====

(2)
{
  "formula": "PmBi2O6",
  "functional": "PBE",
  "state": "relaxed",
  "n_ef_per_ev_cell": 2.90,
  "polymorph_energy_kj_per_mol_atoms": 3.0,
  "e_form_raw_ev_per_atom": -1.53,
  "magnetic_moment_mub_per_fu": 0.00,
  "lattice_angstrom": [[-2.9312, -0.7553, -2.4092], [-1.9543, -1.6586, 2.8977], [-0.9790, 8.5115, 1.6290]],
  "species": ["O", "O", "O", "O", "O", "O", "Pm", "Bi", "Bi"],
  "frac_coords": [[0.5889, 0.0889, 0.1779], [0.2500, 0.7500, 0.5000], [0.4111, 0.9111, 0.8221], [0.7500, 0.2500, 0.5000], [0.0889, 0.5889, 0.1779], [0.9111, 0.4111, 0.8221], [0.0000, 0.0000, 0.0000], [0.3361, 0.3361, 0.6722], [0.6639, 0.6639, 0.3278]]
}

=====

(3)
{
  "formula": "Na3AlIr",
  "functional": "PBE",
  "state": "relaxed",
  "n_ef_per_ev_cell": 4.52,
  "polymorph_energy_kj_per_mol_atoms": 0.0,
  "magnetic_moment_mub_per_fu": 0.00,
  "lattice_angstrom": [[5.3969, 0.0000, 0.0000], [0.0000, 5.3969, 0.0000], [0.0000, 0.0000, 5.3969]],
  "species": ["Na", "Na", "Na", "Ir", "Al"],
  "frac_coords": [[0.0000, 0.0000, 0.5000], [0.0000, 0.5000, 0.0000], [0.5000, 0.0000, 0.0000], [0.0000, 0.0000, 0.0000], [0.5000, 0.5000, 0.5000]]
}

=====

(4)
{
  "formula": "La5Nd3Dy2",
  "functional": "PBE",
  "state": "relaxed",
  "n_ef_per_ev_cell": 33.68,
  "magnetic_moment_mub_per_fu": 0.00,
  "e_tot_ev_per_atom": -4.668,
  "lattice_angstrom": [[-0.6519, -3.5721, -9.5935], [7.6763, 2.8596, -6.2087], [0.3777, -5.7352, 9.9050]],
  "species": ["Dy", "Dy", "Dy", "Dy", "Nd", "Nd", "Nd", "Nd", "Nd", "Nd", "La", "La", "La", "La", "La", "La", "La", "La", "La", "La"],
  "frac_coords": [[0.7801, 0.0328, 0.7533], [0.5268, 0.2795, 0.2467], [0.2199, 0.9672, 0.2467], [0.4732, 0.7205, 0.7533], [0.7683, 0.0183, 0.0367], [0.2806, 0.5269, 0.7498], [0.9692, 0.2229, 0.7498], [0.0308, 0.7771, 0.2502], [0.2317, 0.9817, 0.9633], [0.7194, 0.4731, 0.2502], [0.0264, 0.7764, 0.5528], [0.1204, 0.3671, 0.2460], [0.3743, 0.1210, 0.7540], [0.9736, 0.2236, 0.4472], [0.7272, 0.4772, 0.9545], [0.8796, 0.6329, 0.7540], [0.5196, 0.2696, 0.5392], [0.2728, 0.5228, 0.0455], [0.6257, 0.8790, 0.2460], [0.4804, 0.7304, 0.4608]]
}

=====

(5)
{
  "formula": "ScTlI4",
  "functional": "PBE",
  "state": "relaxed",
  "e_form_raw_ev_per_atom": -1.02,
  "magnetic_moment_mub_per_fu": 0.00,
  "lattice_angstrom": [[4.3223, -0.0041, -0.0010], [-2.1574, 7.2219, -1.7113], [0.0021, -0.0375, 8.6423]],
  "species": ["I", "I", "I", "I", "Sc", "Tl"],
  "frac_coords": [[0.1218, 0.2435, 0.3085], [0.8781, 0.7565, 0.6915], [0.6139, 0.2277, 0.9073], [0.3861, 0.7722, 0.0927], [0.0000, 0.0000, 0.0000], [0.5000, 0.0001, 0.4999]]
}

=====

(6)
{
  "formula": "LiTc2Os",
  "functional": "PBE",
  "state": "relaxed",
  "n_ef_per_ev_cell": 2.95,
  "polymorph_energy_kj_per_mol_atoms": 19.1,
  "magnetic_moment_mub_per_fu": 0.00,
  "lattice_angstrom": [[-0.4219, -2.1368, 1.5160], [-0.3130, -0.3592, -2.6106], [8.9752, -2.3100, -0.7583]],
  "species": ["Li", "Os", "Tc", "Tc"],
  "frac_coords": [[0.5000, 0.5000, 0.2500], [0.5000, 0.5000, 0.7500], [0.0000, 0.0000, 0.5063], [0.0000, 0.0000, 0.9937]]
}

=====

(7)
{
  "formula": "Tl2CrCu",
  "functional": "PBE",
  "state": "relaxed",
  "n_ef_per_ev_cell": 2.04,
  "polymorph_energy_kj_per_mol_atoms": 8.6,
  "magnetic_moment_mub_per_fu": 4.04,
  "lattice_angstrom": [[-1.7843, 2.6603, -1.2847], [-2.4821, -0.5601, 2.2873], [0.5064, 3.6211, 6.7952]],
  "species": ["Cr", "Cu", "Tl", "Tl"],
  "frac_coords": [[0.5000, 0.2500, 0.2500], [0.5000, 0.7500, 0.7500], [0.0000, 0.0141, 0.9894], [0.0000, 0.4859, 0.5106]]
}

=====

(8)
{
  "formula": "Ca4AgHgPd2",
  "functional": "PBE",
  "state": "relaxed",
  "n_ef_per_ev_cell": 5.58,
  "magnetic_moment_mub_per_fu": 0.00,
  "e_tot_ev_per_atom": -3.223,
  "lattice_angstrom": [[5.1537, 0.0000, 0.0000], [2.5768, 4.4632, 0.0000], [2.5768, 1.4877, 8.4168]],
  "species": ["Pd", "Pd", "Hg", "Ca", "Ca", "Ca", "Ca", "Ag"],
  "frac_coords": [[0.7500, 0.7500, 0.7501], [0.2500, 0.2500, 0.2499], [0.0000, 0.0000, 0.0000], [0.6235, 0.6235, 0.1296], [0.1264, 0.1264, 0.6208], [0.3765, 0.3765, 0.8704], [0.8736, 0.8736, 0.3792], [0.5000, 0.5000, 0.5000]]
}

=====

(9)
{
  "formula": "VRuW",
  "functional": "PBE",
  "state": "relaxed",
  "n_ef_per_ev_cell": 13.79,
  "polymorph_energy_kj_per_mol_atoms": 5.2,
  "magnetic_moment_mub_per_fu": 0.00,
  "lattice_angstrom": [[-5.2701, -0.1742, 0.6831], [0.0205, -4.2458, -0.9245], [6.1826, -1.4230, 6.6722]],
  "species": ["V", "V", "V", "V", "Ru", "Ru", "Ru", "Ru", "W", "W", "W", "W"],
  "frac_coords": [[0.2480, 0.0000, 0.4943], [0.2480, 0.5000, 0.9943], [0.5618, 0.5000, 0.6460], [0.5618, 0.0000, 0.1460], [0.9057, 0.5000, 0.3152], [0.9057, 0.0000, 0.8152], [0.0783, 0.5000, 0.6672], [0.0783, 0.0000, 0.1672], [0.4155, 0.5000, 0.3264], [0.7464, 0.0000, 0.4857], [0.7464, 0.5000, 0.9857], [0.4155, 0.0000, 0.8264]]
}

=====

(10)
{
  "formula": "Th3Sn2Au",
  "functional": "PBE",
  "state": "relaxed",
  "n_ef_per_ev_cell": 19.49,
  "magnetic_moment_mub_per_fu": 0.00,
  "e_tot_ev_per_atom": -6.135,
  "lattice_angstrom": [[4.5732, 0.0000, 0.0000], [0.0000, 11.8859, 0.0000], [0.0000, 0.0000, 12.8245]],
  "species": ["Th", "Th", "Th", "Th", "Th", "Th", "Th", "Th", "Th", "Th", "Th", "Th", "Sn", "Sn", "Sn", "Sn", "Sn", "Sn", "Sn", "Sn", "Au", "Au", "Au", "Au"],
  "frac_coords": [[0.7500, 0.5656, 0.6256], [0.7500, 0.6211, 0.9602], [0.7500, 0.1930, 0.2892], [0.2500, 0.1211, 0.5398], [0.2500, 0.4344, 0.3744], [0.7500, 0.8789, 0.4602], [0.2500, 0.6930, 0.2108], [0.7500, 0.3070, 0.7892], [0.2500, 0.0656, 0.8744], [0.2500, 0.8070, 0.7108], [0.2500, 0.3789, 0.0398], [0.7500, 0.9344, 0.1256], [0.2500, 0.8147, 0.9884], [0.7500, 0.4779, 0.1899], [0.2500, 0.9779, 0.3101], [0.2500, 0.6853, 0.4884], [0.2500, 0.5221, 0.8101], [0.7500, 0.3147, 0.5116], [0.7500, 0.0221, 0.6899], [0.7500, 0.1853, 0.0116], [0.7500, 0.8598, 0.8603], [0.2500, 0.3598, 0.6397], [0.2500, 0.1402, 0.1397], [0.7500, 0.6402, 0.3603]]
}

=====

(11)
{
  "formula": "SrNdIn4",
  "functional": "PBE",
  "state": "relaxed",
  "n_ef_per_ev_cell": 2.67,
  "polymorph_energy_kj_per_mol_atoms": 0.0,
  "magnetic_moment_mub_per_fu": 0.00,
  "lattice_angstrom": [[3.8586, 0.0000, 0.0089], [0.0000, 5.0440, 0.0000], [-0.0189, 0.0000, 8.7969]],
  "species": ["In", "In", "In", "In", "Sr", "Nd"],
  "frac_coords": [[0.9849, 0.0000, 0.3374], [0.0076, 0.5000, 0.1710], [0.0151, 0.0000, 0.6626], [0.9924, 0.5000, 0.8290], [0.5000, 0.0000, 0.0000], [0.5000, 0.5000, 0.5000]]
}

=====

(12)
{
  "formula": "Hf2Zr3In2",
  "functional": "PBE",
  "state": "relaxed",
  "n_ef_per_ev_cell": 6.61,
  "polymorph_energy_kj_per_mol_atoms": 0.0,
  "magnetic_moment_mub_per_fu": 0.00,
  "lattice_angstrom": [[3.1518, 0.0000, 0.0000], [0.0000, 7.3674, -0.6406], [-1.5759, -3.0443, 7.1564]],
  "species": ["In", "In", "Hf", "Hf", "Zr", "Zr", "Zr"],
  "frac_coords": [[0.5647, 0.9033, 0.1294], [0.4353, 0.0967, 0.8706], [0.1543, 0.3408, 0.3086], [0.8457, 0.6592, 0.6914], [0.7873, 0.2068, 0.5746], [0.0000, 0.5000, 0.0000], [0.2127, 0.7932, 0.4254]]
}

=====

Question: What is the formula in the eighth record?
Answer: Ca4AgHgPd2